1.
PaBi2RhO8 | GGA-PBE | relaxed

```
data_PaBi2RhO8
_chemical_formula_sum 'Pa2 Bi4 Rh2 O16'
_space_group_name_H-M_alt 'C m m m'
_space_group_IT_number 65
_space_group_name_Hall '-C 2 2'
_cell_length_a 7.341
_cell_length_b 7.369
_cell_length_c 6.745
_cell_angle_alpha 90.00
_cell_angle_beta 90.00
_cell_angle_gamma 90.00
loop_
_atom_site_label
_atom_site_type_symbol
_atom_site_fract_x
_atom_site_fract_y
_atom_site_fract_z
Pa1 Pa 0.000 0.000 0.000
Bi1 Bi 0.000 0.500 0.259
Rh1 Rh 0.000 0.000 0.500
O1 O 0.000 0.179 0.256
O2 O 0.195 0.500 0.000
O3 O 0.240 0.500 0.500
```

Output
Energy relative to the elements, uncorrected: -160.0 kJ per mole of atoms
Raw total energy: -84.2 eV per formula unit
Total magnetization: 3.270 Bohr magnetons per cell

---

2.
LiPb2 | GGA-PBE | relaxed

```
data_LiPb2
_chemical_formula_sum 'Li4 Pb8'
_space_group_name_H-M_alt 'C m c m'
_space_group_IT_number 63
_space_group_name_Hall '-C 2c 2'
_cell_length_a 4.195
_cell_length_b 14.744
_cell_length_c 5.127
_cell_angle_alpha 90.00
_cell_angle_beta 90.00
_cell_angle_gamma 90.00
loop_
_atom_site_label
_atom_site_type_symbol
_atom_site_fract_x
_atom_site_fract_y
_atom_site_fract_z
Li1 Li 0.000 0.085 0.250
Pb1 Pb 0.000 0.255 0.750
Pb2 Pb 0.000 0.426 0.250
```

Output
Raw total energy: -9.8 eV per formula unit
Total magnetization: 0.000 Bohr magnetons per cell

---

3.
KBeAs | GGA-PBE | relaxed

```
data_KBeAs
_chemical_formula_sum 'K4 Be4 As4'
_space_group_name_H-M_alt 'P n m a'
_space_group_IT_number 62
_cell_length_a 10.231
_cell_length_b 3.873
_cell_length_c 10.226
_cell_angle_alpha 90.00
_cell_angle_beta 90.00
_cell_angle_gamma 90.00
loop_
_space_group_symop_operation_xyz
'x,y,z'
'-x,-y,-z'
'-x+1/2,-y,z+1/2'
'x+1/2,y,-z+1/2'
'x+1/2,-y+1/2,-z+1/2'
'-x+1/2,y+1/2,z+1/2'
'-x,y+1/2,-z'
'x,-y+1/2,z'
loop_
_atom_site_label
_atom_site_type_symbol
_atom_site_fract_x
_atom_site_fract_y
_atom_site_fract_z
K1 K 0.185 0.250 0.243
Be1 Be 0.044 0.750 0.963
As1 As 0.087 0.250 0.862
```

Output
Raw total energy: -10.6 eV per formula unit
Total magnetization: 0.000 Bohr magnetons per cell

---

- Among the records above, which one has the highest total magnetization?
  PaBi2RhO8

---

- What is the formula in the first record?
  PaBi2RhO8

---

What did the third record say?
KBeAs | GGA-PBE | relaxed

```
data_KBeAs
_chemical_formula_sum 'K4 Be4 As4'
_space_group_name_H-M_alt 'P n m a'
_space_group_IT_number 62
_cell_length_a 10.231
_cell_length_b 3.873
_cell_length_c 10.226
_cell_angle_alpha 90.00
_cell_angle_beta 90.00
_cell_angle_gamma 90.00
loop_
_space_group_symop_operation_xyz
'x,y,z'
'-x,-y,-z'
'-x+1/2,-y,z+1/2'
'x+1/2,y,-z+1/2'
'x+1/2,-y+1/2,-z+1/2'
'-x+1/2,y+1/2,z+1/2'
'-x,y+1/2,-z'
'x,-y+1/2,z'
loop_
_atom_site_label
_atom_site_type_symbol
_atom_site_fract_x
_atom_site_fract_y
_atom_site_fract_z
K1 K 0.185 0.250 0.243
Be1 Be 0.044 0.750 0.963
As1 As 0.087 0.250 0.862
```

Output
Raw total energy: -10.6 eV per formula unit
Total magnetization: 0.000 Bohr magnetons per cell

---

- Look up the raw total energy of the second one.
  -9.8 eV per formula unit